1.
Compound: MgTl2I
Source: Alexandria
Functional: PBE
Structure: relaxed

It has space group I-42d (No. 122), with a = 4.609 Å, b = 4.609 Å, c = 25.115 Å, α = 90.00°, β = 90.00° and γ = 90.00°. Symmetry generates all atoms from Mg at (0.000, 0.000, 0.000), Tl at (0.250, 0.250, 0.125) and I at (0.000, 0.000, 0.500).

The calculation puts the energy above the lowest structure with this stoichiometry at 0 meV/atom. For the formation energy from raw total energies, the calculation gives -0.07 eV per atom. The value obtained for the total magnetization is 0.0 μB/f.u. For the energy, the calculation gives -2.0358 eV/atom.

=====

2.
Compound: MgTlI
Source: Alexandria
Functional: PBE
Structure: relaxed

It has space group Amm2 (No. 38), with a = 15.598 Å, b = 3.939 Å, c = 6.757 Å, α = 90.00°, β = 90.00° and γ = 90.00°. Symmetry generates all atoms from Mg at (0.000, 0.000, 0.000), Mg at (0.500, 0.000, 0.240), Tl at (0.353, 0.000, 0.905) and I at (0.120, 0.000, 0.335).

For the formation energy from raw total energies, the calculation gives -0.30 eV per atom. The value obtained for the total magnetization is 0.0 μB/f.u. For the energy, the calculation gives -2.1395 eV/atom.

=====

3.
Compound: MgTl2I
Source: Alexandria
Functional: PBE
Structure: relaxed

It has space group Fm-3m (No. 225), with a = 8.153 Å, b = 8.153 Å, c = 8.153 Å, α = 90.00°, β = 90.00° and γ = 90.00°. Symmetry generates all atoms from Mg at (0.000, 0.000, 0.000), Tl at (0.250, 0.250, 0.250) and I at (0.000, 0.000, 0.500).

The calculation puts the energy above the lowest structure with this stoichiometry at 66 meV/atom. For the formation energy from raw total energies, the calculation gives 0.00 eV per atom. The value obtained for the total magnetization is 0.0 μB/f.u. For the energy, the calculation gives -1.9699 eV/atom.

=====

4.
Compound: MgTlI2
Source: Alexandria
Functional: PBE
Structure: relaxed

It has space group Fm-3m (No. 225), with a = 8.244 Å, b = 8.244 Å, c = 8.244 Å, α = 90.00°, β = 90.00° and γ = 90.00°. Symmetry generates all atoms from Mg at (0.000, 0.000, 0.000), Tl at (0.000, 0.000, 0.500) and I at (0.250, 0.250, 0.250).

For the formation energy from raw total energies, the calculation gives -0.36 eV per atom. The value obtained for the total magnetization is 0.5 μB/f.u. For the energy, the calculation gives -2.1219 eV/atom.

=====

5.
Compound: MgTl2I2
Source: Alexandria
Functional: PBE
Structure: relaxed

It has space group P4/mbm (No. 127), with a = 9.280 Å, b = 9.280 Å, c = 4.535 Å, α = 90.00°, β = 90.00° and γ = 90.00°. Symmetry generates all atoms from Mg at (0.000, 0.000, 0.000), Tl at (0.154, 0.346, 0.500) and I at (0.153, 0.653, 0.000).

For the formation energy from raw total energies, the calculation gives -0.28 eV per atom. The value obtained for the total magnetization is 0.0 μB/f.u. For the energy, the calculation gives -2.1660 eV/atom.

=====

6.
Compound: TmMgTlI6
Source: Alexandria
Functional: PBE
Structure: relaxed

It has space group P-31c (No. 163), with a = 7.6931 Å, b = 7.6931 Å, c = 15.3199 Å, α = 90.00°, β = 90.00° and γ = 120.00°. Symmetry generates all atoms from Tm at (0.3333, 0.6667, 0.2500), Mg at (0.3333, 0.6667, 0.7500), Tl at (0.0000, 0.0000, 0.0000) and I at (0.0055, 0.3716, 0.6380).

For the formation energy from raw total energies, the calculation gives -1.09 eV per atom. The value obtained for the total magnetization is 0.0 μB/f.u. For the energy, the calculation gives -3.0625 eV/atom.

=====

7.
Compound: MgUTlI6
Source: Alexandria
Functional: PBE
Structure: relaxed

It has space group P-31c (No. 163), with a = 7.8652 Å, b = 7.8652 Å, c = 15.3258 Å, α = 90.00°, β = 90.00° and γ = 120.00°. Symmetry generates all atoms from Mg at (0.3333, 0.6667, 0.2500), U at (0.3333, 0.6667, 0.7500), Tl at (0.0000, 0.0000, 0.0000) and I at (0.0168, 0.3742, 0.1364).

For the formation energy from raw total energies, the calculation gives -0.83 eV per atom. The value obtained for the total magnetization is 3.0 μB/f.u. For the energy, the calculation gives -3.5626 eV/atom.

=====

8.
Compound: YMgTlI6
Source: Alexandria
Functional: PBE
Structure: relaxed

It has space group P-31c (No. 163), with a = 7.7440 Å, b = 7.7440 Å, c = 15.2674 Å, α = 90.00°, β = 90.00° and γ = 120.00°. Symmetry generates all atoms from Y at (0.3333, 0.6667, 0.2500), Mg at (0.3333, 0.6667, 0.7500), Tl at (0.0000, 0.0000, 0.0000) and I at (0.0089, 0.3733, 0.6369).

For the formation energy from raw total energies, the calculation gives -1.11 eV per atom. The value obtained for the total magnetization is 0.0 μB/f.u. For the energy, the calculation gives -3.2980 eV/atom.